# AcCrO6 PBE with a Hubbard U optimized geometry
data_AcCrO6
_chemical_formula_sum 'Ac4 Cr4 O24'
_symmetry_space_group_name_H-M 'F m -3 m'
_symmetry_Int_Tables_number 225
_symmetry_space_group_name_Hall '-F 4 2 3'
_cell_length_a 8.6085
_cell_length_b 8.6085
_cell_length_c 8.6085
_cell_angle_alpha 90.00
_cell_angle_beta 90.00
_cell_angle_gamma 90.00
loop_
_atom_site_label
_atom_site_type_symbol
_atom_site_fract_x
_atom_site_fract_y
_atom_site_fract_z
Ac1 Ac 0.0000 0.0000 0.0000
Cr1 Cr 0.0000 0.0000 0.5000
O1 O 0.0000 0.0000 0.2905
# mass density	3.90	g cm⁻³
# DFT total energy	-50.27	eV per formula unit
# D(E_F)	0.09	states/eV/atom